The following is a PBE calculation of a geometry-optimized KRbTaF6 structure, from Alexandria.

Lattice parameters (Å, degrees): 6.7106 6.7106 9.2283 90.00 90.00 120.00
Last column: nearest neighbours and their distance in Å.
Fractional positions:
F: 0.4061 0.0732 0.1435  1 Ta 2.00
F: 0.0732 0.6671 0.8565  1 Ta 2.00
F: 0.9268 0.5939 0.3565  1 Ta 2.00
F: 0.9268 0.3329 0.1435  1 Ta 2.00
F: 0.6671 0.0732 0.3565  1 Ta 2.00
F: 0.3329 0.9268 0.6435  1 Ta 2.00
F: 0.3329 0.4061 0.8565  1 Ta 2.00
F: 0.6671 0.5939 0.1435  1 Ta 2.00
F: 0.4061 0.3329 0.3565  1 Ta 2.00
F: 0.5939 0.9268 0.8565  1 Ta 2.00
F: 0.0732 0.4061 0.6435  1 Ta 2.00
F: 0.5939 0.6671 0.6435  1 Ta 2.00
Ta: 0.6667 0.3333 0.2500  6 F 2.00
Ta: 0.3333 0.6667 0.7500  6 F 2.00
K: 0.6667 0.3333 0.7500  6 F 2.70
K: 0.3333 0.6667 0.2500  6 F 2.70
Rb: 0.0000 0.0000 0.5000  6 F 2.84
Rb: 0.0000 0.0000 0.0000  6 F 2.84

Properties
The volume comes out at 20.0 A^3/atom. The value obtained for the formation energy (no corrections) is -3.003 eV/atom. Its space group is P-31c, No. 163. The calculation puts the total energy at -104.35 eV for the cell shown. The crystal system is trigonal.



The following is a PBE calculation of a geometry-optimized KRbTaF2 structure, from Alexandria.

Lattice parameters (Å, degrees): 4.4216 7.1558 4.4216 90.00 90.00 90.00
Last column: nearest neighbours and their distance in Å.
Fractional positions:
K: 0.5000 0.5000 0.5000  4 Rb 3.13
F: 0.5000 0.0000 0.0000  2 Ta 2.21
F: 0.0000 0.0000 0.5000  2 Ta 2.21
Ta: 0.0000 0.0000 0.0000  4 F 2.21
Rb: 0.0000 0.5000 0.0000  4 K 3.13

Properties
The volume comes out at 28.0 A^3/atom. The value obtained for the formation energy (no corrections) is -0.462 eV/atom. Its space group is P4/mmm, No. 123. The calculation puts the total energy at -19.97 eV for the cell shown. The crystal system is tetragonal.



The following is a PBE calculation of a geometry-optimized K2RbTcF6 structure, from Alexandria.

Lattice parameters (Å, degrees): 6.1482 6.1482 13.6966 77.03 77.03 60.00
Last column: nearest neighbours and their distance in Å.
Fractional positions:
F: 0.6291 0.6291 0.5877  1 Tc 2.05
F: 0.6291 0.1541 0.5877  1 Tc 2.05
F: 0.3709 0.3709 0.4123  1 Tc 2.05
F: 0.1881 0.1881 0.9118  1 Tc 2.05
F: 0.1541 0.6291 0.5877  1 Tc 2.05
F: 0.8119 0.8119 0.0882  1 Tc 2.05
F: 0.1881 0.7120 0.9118  1 Tc 2.05
F: 0.8459 0.3709 0.4123  1 Tc 2.05
F: 0.2880 0.8119 0.0882  1 Tc 2.05
F: 0.3709 0.8459 0.4123  1 Tc 2.05
F: 0.7120 0.1881 0.9118  1 Tc 2.05
F: 0.8119 0.2880 0.0882  1 Tc 2.05
Tc: 0.5000 0.5000 0.5000  6 F 2.05
Tc: 0.0000 0.0000 0.0000  6 F 2.05
Rb: 0.4138 0.4138 0.7587  6 F 2.75-2.82
Rb: 0.5862 0.5862 0.2413  6 F 2.75-2.82
K: 0.3132 0.3132 0.0603  3 F 2.70
K: 0.8518 0.8518 0.4447  3 F 2.65
K: 0.1482 0.1482 0.5553  3 F 2.65
K: 0.6868 0.6868 0.9397  3 F 2.70

Properties
The volume comes out at 21.7 A^3/atom. The value obtained for the formation energy (no corrections) is -2.416 eV/atom. Its space group is R-3m, No. 166. The calculation puts the total energy at -97.84 eV for the cell shown. The crystal system is trigonal.



The following is a PBE calculation of a geometry-optimized K2RbTcF8 structure, from Alexandria.

Lattice parameters (Å, degrees): 5.5040 5.5040 8.7861 90.00 90.00 120.00
Last column: nearest neighbours and their distance in Å.
Fractional positions:
Rb: 0.0000 0.0000 0.5000  6 F 3.18
F: 0.3333 0.6667 0.4853  1 K 2.48
F: 0.1611 0.8389 0.1322  1 Tc 1.93
F: 0.3222 0.1611 0.8678  1 Tc 1.93
F: 0.6778 0.8389 0.1322  1 Tc 1.93
F: 0.8389 0.1611 0.8678  1 Tc 1.93
F: 0.8389 0.6778 0.8678  1 Tc 1.93
F: 0.6667 0.3333 0.5147  1 K 2.48
F: 0.1611 0.3222 0.1322  1 Tc 1.93
K: 0.3333 0.6667 0.7670  1 F 2.48
K: 0.6667 0.3333 0.2330  1 F 2.48
Tc: 0.0000 0.0000 0.0000  6 F 1.93

Properties
The volume comes out at 19.2 A^3/atom. The value obtained for the formation energy (no corrections) is -2.340 eV/atom. Its space group is P-3m1, No. 164. The calculation puts the total energy at -56.58 eV for the cell shown. The crystal system is trigonal.



The following is a PBE calculation of a geometry-optimized KRbTeF6 structure, from Alexandria.

Lattice parameters (Å, degrees): 6.5148 6.5154 4.4132 90.00 89.98 59.97
Last column: nearest neighbours and their distance in Å.
Fractional positions:
K: 0.6667 0.6666 0.2624  9 F 2.85-2.91
F: 0.2597 0.5992 0.3217  1 Te 2.01
F: 0.5992 0.1410 0.3214  1 Te 2.01
F: 0.4305 0.9779 0.7572  1 Te 2.17
F: 0.5916 0.4305 0.7571  1 Te 2.17
F: 0.1410 0.2599 0.3217  1 Te 2.01
F: 0.9778 0.5916 0.7574  1 Te 2.17
Rb: 0.0000 0.0000 0.8875  6 F 2.79-2.99
Te: 0.3333 0.3333 0.6135  6 F 2.01-2.17

Properties
The volume comes out at 18.0 A^3/atom. The value obtained for the formation energy (no corrections) is -2.496 eV/atom. Its space group is P3, No. 143. The calculation puts the total energy at -38.90 eV for the cell shown. The crystal system is trigonal.



The following is a PBE calculation of a geometry-optimized KRb2ThF8 structure, from Alexandria.

Lattice parameters (Å, degrees): 6.3249 6.3249 7.6097 114.56 114.56 90.00
Last column: nearest neighbours and their distance in Å.
Fractional positions:
F: 0.9212 0.8490 0.2789  1 Th 2.35
F: 0.1510 0.6423 0.7211  1 Th 2.35
F: 0.5702 0.6423 0.7211  1 Th 2.35
F: 0.5702 0.0788 0.7211  1 Th 2.35
F: 0.3577 0.4298 0.2789  1 Th 2.35
F: 0.3577 0.8490 0.2789  1 Th 2.35
F: 0.9212 0.4298 0.2789  1 Th 2.35
F: 0.1510 0.0788 0.7211  1 Th 2.35
Rb: 0.0000 0.0000 0.0000  8 F 2.87
Rb: 0.7500 0.2500 0.5000  8 F 2.90
Th: 0.2500 0.7500 0.5000  8 F 2.35
K: 0.5000 0.5000 0.0000  8 F 2.81

Properties
The volume comes out at 20.5 A^3/atom. The value obtained for the formation energy (no corrections) is -3.161 eV/atom. Its space group is I-4m2, No. 119. The calculation puts the total energy at -63.35 eV for the cell shown. The crystal system is tetragonal.